## MgOsAuSe2 (PBE-GGA)

Data for crystalline MgOsAuSe2 at its relaxed geometry. Values from VASP.

```
&SYSTEM
  ibrav = 0, nat = 5, ntyp = 4
/
ATOMIC_SPECIES
Os 190.23 Os.upf
Mg 24.30 Mg.upf
Au 196.97 Au.upf
Se 78.96 Se.upf
CELL_PARAMETERS angstrom
4.7184 0.0000 0.0000
0.0000 5.3431 0.0000
0.0000 0.0000 4.7184
ATOMIC_POSITIONS crystal
Os 0.0000 0.0000 0.0000
Mg 0.0000 0.5000 0.0000
Au 0.5000 0.5000 0.5000
Se 0.0000 0.0000 0.5000
Se 0.5000 0.0000 0.0000
```

## Properties
* final energy: -20.84 eV for the cell shown
* magnetization: 0.0 Bohr magnetons per cell
* volume: 23.79 Å³ per atom

***

## MgSi2OsAu (PBE-GGA)

Data for crystalline MgSi2OsAu at its relaxed geometry. Values from VASP.

```
&SYSTEM
  ibrav = 0, nat = 5, ntyp = 4
/
ATOMIC_SPECIES
Os 190.23 Os.upf
Si 28.09 Si.upf
Au 196.97 Au.upf
Mg 24.30 Mg.upf
CELL_PARAMETERS angstrom
-2.6567 -2.2459 2.8730
4.3707 -2.5017 2.0861
0.4590 3.3203 3.0201
ATOMIC_POSITIONS crystal
Os 0.0000 0.0000 0.0000
Si 0.0000 0.0000 0.5000
Si 0.5000 0.0000 0.0000
Au 0.0000 0.5000 0.0000
Mg 0.5000 0.5000 0.5000
```

## Properties
* final energy: -25.41 eV for the cell shown
* magnetization: 0.0 Bohr magnetons per cell
* volume: 22.19 Å³ per atom

***

## MgP2Au (PBE-GGA)

Data for crystalline MgP2Au at its relaxed geometry. Values from VASP.

```
&SYSTEM
  ibrav = 0, nat = 4, ntyp = 3
/
ATOMIC_SPECIES
Au 196.97 Au.upf
Mg 24.30 Mg.upf
P 30.97 P.upf
CELL_PARAMETERS angstrom
-3.6218 -4.6204 1.9679
-0.0975 -5.2221 3.3254
-2.3986 -2.6905 5.0345
ATOMIC_POSITIONS crystal
Au 0.2500 0.2500 0.2500
Mg 0.7500 0.7500 0.7500
P 0.9911 0.9911 0.9911
P 0.5089 0.5089 0.5089
```

## Properties
* final energy: -15.69 eV for the cell shown
* magnetization: 0.0 Bohr magnetons per cell
* volume: 18.32 Å³ per atom
* energy of formation: 0.1 kJ/mol of formula units

***

## Mg2PAu (PBE-GGA)

Data for crystalline Mg2PAu at its relaxed geometry. Values from VASP.

```
&SYSTEM
  ibrav = 0, nat = 4, ntyp = 3
/
ATOMIC_SPECIES
Au 196.97 Au.upf
Mg 24.30 Mg.upf
P 30.97 P.upf
CELL_PARAMETERS angstrom
-1.2128 -3.4986 2.9179
2.1382 -4.1890 -0.3254
2.9806 -1.3937 3.3762
ATOMIC_POSITIONS crystal
Au 0.5000 0.5000 0.5000
Mg 0.0000 0.0000 0.0000
Mg 0.2500 0.2500 0.2500
P 0.7500 0.7500 0.7500
```

## Properties
* final energy: -12.05 eV for the cell shown
* magnetization: 0.0 Bohr magnetons per cell
* volume: 18.52 Å³ per atom
* energy of formation: -16.7 kJ/mol of formula units

***

## Mg2PAu (PBE-GGA)

Data for crystalline Mg2PAu at its relaxed geometry. Values from VASP.

```
&SYSTEM
  ibrav = 0, nat = 4, ntyp = 3
/
ATOMIC_SPECIES
Au 196.97 Au.upf
Mg 24.30 Mg.upf
P 30.97 P.upf
CELL_PARAMETERS angstrom
2.9492 0.0000 0.0000
0.0000 3.5656 0.0314
0.0000 3.5125 6.7459
ATOMIC_POSITIONS crystal
Au 0.5000 0.7500 0.7500
Mg 0.0000 0.9930 0.0065
Mg 0.0000 0.5070 0.4935
P 0.5000 0.2500 0.2500
```

## Properties
* final energy: -13.43 eV for the cell shown
* magnetization: 0.0 Bohr magnetons per cell
* volume: 17.65 Å³ per atom
* energy of formation: -150.1 kJ/mol of formula units

***

## MgPAu4 (PBE-GGA)

Data for crystalline MgPAu4 at its relaxed geometry. Values from VASP.

```
&SYSTEM
  ibrav = 0, nat = 6, ntyp = 3
/
ATOMIC_SPECIES
Mg 24.30 Mg.upf
P 30.97 P.upf
Au 196.97 Au.upf
CELL_PARAMETERS angstrom
4.0924 0.7249 3.6040
-0.8259 3.0082 4.5311
-0.2063 -2.4437 4.9242
ATOMIC_POSITIONS crystal
Mg 0.7500 0.7500 0.7500
P 0.0000 0.0000 0.0000
Au 0.8744 0.3752 0.3752
Au 0.3752 0.3752 0.8744
Au 0.3752 0.8744 0.3752
Au 0.3752 0.3752 0.3752
```

## Properties
* final energy: -19.47 eV for the cell shown
* magnetization: 0.0 Bohr magnetons per cell
* volume: 19.62 Å³ per atom
* energy of formation: 62.2 kJ/mol of formula units

***

## MgP2Au (PBE-GGA)

Data for crystalline MgP2Au at its relaxed geometry. Values from VASP.

```
&SYSTEM
  ibrav = 0, nat = 4, ntyp = 3
/
ATOMIC_SPECIES
Au 196.97 Au.upf
Mg 24.30 Mg.upf
P 30.97 P.upf
CELL_PARAMETERS angstrom
3.0095 0.0000 0.0000
0.0000 3.0095 0.0000
0.0000 0.0000 7.5368
ATOMIC_POSITIONS crystal
Au 0.5000 0.5000 0.2500
Mg 0.5000 0.5000 0.7500
P 0.0000 0.0000 0.9897
P 0.0000 0.0000 0.5103
```

## Properties
* final energy: -14.69 eV for the cell shown
* magnetization: 0.0 Bohr magnetons per cell
* volume: 17.07 Å³ per atom
* energy of formation: 96.6 kJ/mol of formula units

***

## MgPAu (PBE-GGA)

Data for crystalline MgPAu at its relaxed geometry. Values from VASP.

```
&SYSTEM
  ibrav = 0, nat = 6, ntyp = 3
/
ATOMIC_SPECIES
P 30.97 P.upf
Mg 24.30 Mg.upf
Au 196.97 Au.upf
CELL_PARAMETERS angstrom
-4.0157 -0.2383 -1.2801
0.7999 -3.7263 -1.8157
-1.4911 -2.8586 5.2099
ATOMIC_POSITIONS crystal
P 0.0000 0.5000 0.2225
P 0.5000 0.0000 0.7775
Mg 0.0000 0.0000 0.5000
Mg 0.5000 0.5000 0.5000
Au 0.0000 0.5000 0.8111
Au 0.5000 0.0000 0.1889
```

## Properties
* final energy: -21.27 eV for the cell shown
* magnetization: 0.0 Bohr magnetons per cell
* volume: 18.20 Å³ per atom
* energy of formation: -34.2 kJ/mol of formula units